Run w
The following is a PBE calculation of an optimized crystal structure of AcPd3Pt, from Alexandria via LeMat-Bulk.

The structure in extended XYZ format:
```
10
Lattice="-2.6524 4.0278 4.7915 2.6524 -4.0278 4.7915 2.6524 4.0278 -4.7915" Properties=species:S:1:pos:R:3 pbc="T T T"
Ac 0.0000 2.0139 0.0541
Ac 2.6524 2.0139 4.7374
Pd 2.6524 2.0139 -1.7858
Pd 1.3262 4.4065 -2.3958
Pd 1.3262 0.3787 2.3958
Pd -1.3262 3.6491 2.3958
Pd 1.3262 3.6491 2.3958
Pd 0.0000 2.0139 6.5773
Pt 2.6524 0.0000 0.0000
Pt 0.0000 0.0000 4.7915
```

## Properties
**V**: 205 Å³/cell
**Symmetry**: Imma (74)


Run x
The following is a PBE calculation of an optimized crystal structure of AcPd3Pt, from Alexandria via LeMat-Bulk.

The structure in extended XYZ format:
```
20
Lattice="6.4294 0.0000 0.0000 -3.2147 5.5680 0.0000 0.0000 0.0000 12.4502" Properties=species:S:1:pos:R:3 pbc="T T T"
Ac 0.0000 0.0000 0.0000
Ac 0.0000 0.0000 6.2251
Ac 0.0000 3.7120 3.1125
Ac 3.2147 1.8560 9.3376
Pd -1.6073 2.7840 0.0000
Pd -1.6073 2.7840 6.2251
Pd 0.0000 1.4753 9.3376
Pd -1.9371 4.8304 9.3376
Pd 1.2776 0.7376 3.1125
Pd 3.2147 0.0000 0.0000
Pd 3.2147 0.0000 6.2251
Pd 1.6073 2.7840 0.0000
Pd 1.6073 2.7840 6.2251
Pd 1.9371 4.8304 9.3376
Pd 5.1518 0.7376 3.1125
Pd 3.2147 4.0928 3.1125
Pt 0.0000 3.7120 8.0392
Pt 0.0000 3.7120 10.6360
Pt 3.2147 1.8560 1.8141
Pt 3.2147 1.8560 4.4110
```

## Properties
**V**: 446 Å³/cell
**Symmetry**: P6_3/mmc (194)


The winner here is run w, beating the second structure by 206 meV per atom.


Run w
The following is a PBE calculation of an optimized crystal structure of AcPd3Pt2, from Alexandria via LeMat-Bulk.

The structure in extended XYZ format:
```
12
Lattice="2.9329 1.6933 7.4297 -2.9329 1.6933 7.4297 0.0000 -3.3867 7.4297" Properties=species:S:1:pos:R:3 pbc="T T T"
Ac 0.0000 0.0000 4.8699
Ac 0.0000 0.0000 17.4193
Pd -1.4199 -0.8198 12.5134
Pd 0.0000 -1.6396 9.7758
Pd -1.4199 0.8198 9.7758
Pd 1.4199 -0.8198 12.5134
Pd 0.0000 1.6396 12.5134
Pd 1.4199 0.8198 9.7758
Pt 0.0000 0.0000 0.0000
Pt -1.4665 -0.8467 7.4297
Pt -1.4665 0.8467 14.8595
Pt 0.0000 1.6933 7.4297
```

## Properties
**V**: 221 Å³/cell
**Symmetry**: R-3m (166)


Run x
The following is a PBE calculation of an optimized crystal structure of AcPd3Pt2, from Alexandria via LeMat-Bulk.

The structure in extended XYZ format:
```
12
Lattice="4.8715 -4.5985 0.0000 4.8715 4.5985 0.0000 0.0000 0.0000 5.3874" Properties=species:S:1:pos:R:3 pbc="T T T"
Ac 4.8715 2.8240 4.0405
Ac 4.8715 -2.8240 1.3468
Pd 3.0150 2.3461 1.3468
Pd 6.7280 2.3461 1.3468
Pd 4.8715 0.2446 1.3468
Pd 4.8715 -0.2446 4.0405
Pd 3.0150 -2.3461 4.0405
Pd 6.7280 -2.3461 4.0405
Pt 2.4551 0.0000 0.0000
Pt 2.4551 0.0000 2.6937
Pt 7.2879 0.0000 0.0000
Pt 7.2879 0.0000 2.6937
```

## Properties
**V**: 241 Å³/cell
**Symmetry**: Cmcm (63)


The winner here is run x, beating the second structure by 114 meV per atom.


Run w
The following is a PBE calculation of an optimized crystal structure of Ac3Pd4Pt2, from Alexandria via LeMat-Bulk.

The structure in extended XYZ format:
```
18
Lattice="4.6026 0.0000 0.0000 -2.3013 3.9860 0.0000 0.0000 0.0000 24.0927" Properties=species:S:1:pos:R:3 pbc="T T T"
Ac 0.0000 0.0000 2.0099
Ac 0.0000 0.0000 6.0470
Ac 0.0000 0.0000 10.0326
Ac 0.0000 0.0000 14.0601
Ac 0.0000 0.0000 18.0457
Ac 0.0000 0.0000 22.0828
Pd 0.0000 2.6573 4.0364
Pd 0.0000 2.6573 8.0408
Pd 0.0000 2.6573 12.0463
Pd 0.0000 2.6573 16.0518
Pd 0.0000 2.6573 20.0563
Pd 2.3013 1.3287 4.0438
Pd 2.3013 1.3287 12.0463
Pd 2.3013 1.3287 20.0489
Pt 0.0000 2.6573 0.0000
Pt 2.3013 1.3287 0.0000
Pt 2.3013 1.3287 8.0435
Pt 2.3013 1.3287 16.0492
```

## Properties
**V**: 442 Å³/cell
**Symmetry**: P-6m2 (187)


Run x
The following is a PBE calculation of an optimized crystal structure of Ac3Pd4Pt2, from Alexandria via LeMat-Bulk.

The structure in extended XYZ format:
```
9
Lattice="5.6658 -2.3022 0.0000 5.6658 2.3022 0.0000 -2.6299 0.0000 8.4861" Properties=species:S:1:pos:R:3 pbc="T T T"
Ac 0.0000 0.0000 0.0000
Ac 2.8754 0.0000 2.8512
Ac 5.8264 0.0000 5.6349
Pd -0.4105 0.0000 3.2795
Pd 0.6460 0.0000 7.9987
Pd 8.0558 0.0000 0.4875
Pd 9.1124 0.0000 5.2066
Pt 2.5248 0.0000 6.1307
Pt 6.1771 0.0000 2.3555
```

## Properties
**V**: 221 Å³/cell
**Symmetry**: C2/m (12)


The winner here is run x, beating the second structure by 11 meV per atom.


Run w
The following is a PBE calculation of an optimized crystal structure of AcSmPdPt, from Alexandria via LeMat-Bulk.

The structure in extended XYZ format:
```
8
Lattice="4.6234 0.0000 0.0000 0.0000 4.0001 0.0000 0.0000 0.0000 11.1973" Properties=species:S:1:pos:R:3 pbc="T T T"
Ac 0.0000 0.0000 0.0000
Ac 0.0000 2.0001 5.5987
Sm 2.3117 0.0000 3.0341
Sm 2.3117 2.0001 8.6328
Pd 2.3117 0.0000 6.1946
Pd 2.3117 2.0001 0.5960
Pt 0.0000 0.0000 8.1414
Pt 0.0000 2.0001 2.5427
```

## Properties
**V**: 207 Å³/cell
**Symmetry**: Amm2 (38)


Run x
The following is a PBE calculation of an optimized crystal structure of AcSmPdPt, from Alexandria via LeMat-Bulk.

The structure in extended XYZ format:
```
16
Lattice="7.3751 0.0000 0.0000 0.0000 7.3751 0.0000 0.0000 0.0000 7.3751" Properties=species:S:1:pos:R:3 pbc="T T T"
Ac 0.0000 0.0000 0.0000
Ac 0.0000 3.6875 3.6875
Ac 3.6875 0.0000 3.6875
Ac 3.6875 3.6875 0.0000
Sm 0.0000 0.0000 3.6875
Sm 0.0000 3.6875 0.0000
Sm 3.6875 0.0000 0.0000
Sm 3.6875 3.6875 3.6875
Pd 1.8438 1.8438 5.5313
Pd 1.8438 5.5313 1.8438
Pd 5.5313 1.8438 1.8438
Pd 5.5313 5.5313 5.5313
Pt 1.8438 1.8438 1.8438
Pt 1.8438 5.5313 5.5313
Pt 5.5313 1.8438 5.5313
Pt 5.5313 5.5313 1.8438
```

## Properties
**V**: 401 Å³/cell
**Symmetry**: F-43m (216)


The winner here is run w, beating the second structure by 116 meV per atom.


Run w
The following is a PBE calculation of an optimized crystal structure of AcSnPdPt, from Alexandria via LeMat-Bulk.

The structure in extended XYZ format:
```
16
Lattice="7.1883 0.0000 0.0000 0.0000 7.1883 0.0000 0.0000 0.0000 7.1883" Properties=species:S:1:pos:R:3 pbc="T T T"
Ac 0.0000 0.0000 0.0000
Ac 0.0000 3.5941 3.5941
Ac 3.5941 0.0000 3.5941
Ac 3.5941 3.5941 0.0000
Sn 0.0000 0.0000 3.5941
Sn 0.0000 3.5941 0.0000
Sn 3.5941 0.0000 0.0000
Sn 3.5941 3.5941 3.5941
Pd 1.7971 1.7971 1.7971
Pd 1.7971 5.3912 5.3912
Pd 5.3912 1.7971 5.3912
Pd 5.3912 5.3912 1.7971
Pt 1.7971 1.7971 5.3912
Pt 1.7971 5.3912 1.7971
Pt 5.3912 1.7971 1.7971
Pt 5.3912 5.3912 5.3912
```

## Properties
**V**: 371 Å³/cell
**Symmetry**: F-43m (216)


Run x
The following is a PBE calculation of an optimized crystal structure of AcSnPdPt, from Alexandria via LeMat-Bulk.

The structure in extended XYZ format:
```
8
Lattice="8.0475 0.0000 0.0000 0.0000 4.6371 0.0000 -2.6731 0.0000 5.1917" Properties=species:S:1:pos:R:3 pbc="T T T"
Ac 0.0000 0.0000 0.0000
Ac 4.0237 2.3186 0.0000
Sn -1.3366 2.3186 2.6168
Sn 2.6871 0.0000 2.6168
Pd 1.3449 2.3186 1.9559
Pd 5.3686 0.0000 1.9559
Pt 0.0061 0.0000 3.2604
Pt 4.0298 2.3186 3.2604
```

## Properties
**V**: 194 Å³/cell
**Symmetry**: Cm (8)


The winner here is run x, beating the second structure by 184 meV per atom.


Run w
The following is a PBE calculation of an optimized crystal structure of SrAcPdPt, from Alexandria via LeMat-Bulk.

The structure in extended XYZ format:
```
8
Lattice="4.5720 0.0000 0.0000 0.0000 4.1847 0.0000 0.0000 0.0000 11.5818" Properties=species:S:1:pos:R:3 pbc="T T T"
Sr 0.0000 0.0000 0.0000
Sr 0.0000 2.0923 5.7909
Ac 2.2860 0.0000 3.1727
Ac 2.2860 2.0923 8.9636
Pd 2.2860 0.0000 6.5043
Pd 2.2860 2.0923 0.7134
Pt 0.0000 0.0000 8.3829
Pt 0.0000 2.0923 2.5920
```

## Properties
**V**: 222 Å³/cell
**Symmetry**: Amm2 (38)


Run x
The following is a PBE calculation of an optimized crystal structure of SrAcPdPt, from Alexandria via LeMat-Bulk.

The structure in extended XYZ format:
```
16
Lattice="7.4853 0.0000 0.0000 0.0000 7.4853 0.0000 0.0000 0.0000 7.4853" Properties=species:S:1:pos:R:3 pbc="T T T"
Sr 0.0000 0.0000 0.0000
Sr 0.0000 3.7427 3.7427
Sr 3.7427 0.0000 3.7427
Sr 3.7427 3.7427 0.0000
Ac 0.0000 0.0000 3.7427
Ac 0.0000 3.7427 0.0000
Ac 3.7427 0.0000 0.0000
Ac 3.7427 3.7427 3.7427
Pd 1.8713 1.8713 1.8713
Pd 1.8713 5.6140 5.6140
Pd 5.6140 1.8713 5.6140
Pd 5.6140 5.6140 1.8713
Pt 1.8713 1.8713 5.6140
Pt 1.8713 5.6140 1.8713
Pt 5.6140 1.8713 1.8713
Pt 5.6140 5.6140 5.6140
```

## Properties
**V**: 419 Å³/cell
**Symmetry**: F-43m (216)


The winner here is run w, beating the second structure by 85 meV per atom.


Run w
The following is a PBE calculation of an optimized crystal structure of AcTbPdPt, from Alexandria via LeMat-Bulk.

The structure in extended XYZ format:
```
16
Lattice="7.3263 0.0000 0.0000 0.0000 7.3263 0.0000 0.0000 0.0000 7.3263" Properties=species:S:1:pos:R:3 pbc="T T T"
Ac 0.0000 0.0000 0.0000
Ac 0.0000 3.6632 3.6632
Ac 3.6632 0.0000 3.6632
Ac 3.6632 3.6632 0.0000
Tb 0.0000 0.0000 3.6632
Tb 0.0000 3.6632 0.0000
Tb 3.6632 0.0000 0.0000
Tb 3.6632 3.6632 3.6632
Pd 1.8316 1.8316 5.4948
Pd 1.8316 5.4948 1.8316
Pd 5.4948 1.8316 1.8316
Pd 5.4948 5.4948 5.4948
Pt 1.8316 1.8316 1.8316
Pt 1.8316 5.4948 5.4948
Pt 5.4948 1.8316 5.4948
Pt 5.4948 5.4948 1.8316
```

## Properties
**V**: 393 Å³/cell
**Symmetry**: F-43m (216)


Run x
The following is a PBE calculation of an optimized crystal structure of AcTbPdPt, from Alexandria via LeMat-Bulk.

The structure in extended XYZ format:
```
8
Lattice="4.6023 0.0000 0.0000 0.0000 3.9532 0.0000 0.0000 0.0000 11.1398" Properties=species:S:1:pos:R:3 pbc="T T T"
Ac 0.0000 0.0000 0.0000
Ac 0.0000 1.9766 5.5699
Tb 2.3011 0.0000 3.0209
Tb 2.3011 1.9766 8.5908
Pd 2.3011 0.0000 6.1847
Pd 2.3011 1.9766 0.6148
Pt 0.0000 0.0000 8.1150
Pt 0.0000 1.9766 2.5451
```

## Properties
**V**: 203 Å³/cell
**Symmetry**: Amm2 (38)


The winner here is run x, beating the second structure by 116 meV per atom.


Run w
The following is a PBE calculation of an optimized crystal structure of Ac2PuPd, from Alexandria via LeMat-Bulk.

The structure in extended XYZ format:
```
12
Lattice="3.9487 0.0000 0.0000 -1.9743 3.4197 0.0000 0.0000 0.0000 33.0255" Properties=species:S:1:pos:R:3 pbc="T T T"
Ac 0.0000 0.0000 3.5206
Ac 0.0000 0.0000 29.5049
Ac 0.0000 2.2798 18.4964
Ac 0.0000 2.2798 25.5376
Ac 1.9743 1.1399 7.4879
Ac 1.9743 1.1399 14.5291
Pu 0.0000 0.0000 0.0000
Pu 0.0000 2.2798 22.0170
Pu 1.9743 1.1399 11.0085
Pd 0.0000 0.0000 16.5127
Pd 0.0000 2.2798 5.5043
Pd 1.9743 1.1399 27.5212
```

## Properties
**V**: 446 Å³/cell
**Symmetry**: R-3m (166)


Run x
The following is a PBE calculation of an optimized crystal structure of Ac2PuPd, from Alexandria via LeMat-Bulk.

The structure in extended XYZ format:
```
4
Lattice="3.8276 0.0000 0.0000 0.0000 3.8276 0.0000 0.0000 0.0000 8.8391" Properties=species:S:1:pos:R:3 pbc="T T T"
Ac 0.0000 0.0000 1.8357
Ac 0.0000 0.0000 7.0034
Pu 1.9138 1.9138 4.4196
Pd 1.9138 1.9138 0.0000
```

## Properties
**V**: 129 Å³/cell
**Symmetry**: P4/mmm (123)


The winner here is run x, beating the second structure by 277 meV per atom.